[1]
Below is a geometry-optimized BaCdBr4 structure, with properties calculated at the GGA-PBE level.

```
data_BaCdBr4
_cell_length_a 10.470
_cell_length_b 10.470
_cell_length_c 9.193
_cell_angle_alpha 90.00
_cell_angle_beta 90.00
_cell_angle_gamma 90.00
_symmetry_space_group_name_H-M 'I 41/a m d'
_symmetry_Int_Tables_number 141
loop_
_symmetry_equiv_pos_as_xyz
'x,y,z'
'-x,-y,-z'
'-y+1/4,x+3/4,z+1/4'
'y+1/4,-x+3/4,-z+1/4'
'-x+1/2,-y,z+1/2'
'x+1/2,y,-z+1/2'
'y+1/4,-x+1/4,z+3/4'
'-y+1/4,x+1/4,-z+3/4'
'x,-y,-z'
'-x,y,z'
'-y+1/4,-x+1/4,-z+3/4'
'y+1/4,x+1/4,z+3/4'
'-x+1/2,y,-z+1/2'
'x+1/2,-y,z+1/2'
'y+1/4,x+3/4,-z+1/4'
'-y+1/4,-x+3/4,z+1/4'
'x+1/2,y+1/2,z+1/2'
'-x+1/2,-y+1/2,-z+1/2'
'-y+3/4,x+1/4,z+3/4'
'y+3/4,-x+1/4,-z+3/4'
'-x,-y+1/2,z'
'x,y+1/2,-z'
'y+3/4,-x+3/4,z+1/4'
'-y+3/4,x+3/4,-z+1/4'
'x+1/2,-y+1/2,-z+1/2'
'-x+1/2,y+1/2,z+1/2'
'-y+3/4,-x+3/4,-z+1/4'
'y+3/4,x+3/4,z+1/4'
'-x,y+1/2,-z'
'x,-y+1/2,z'
'y+3/4,x+1/4,-z+3/4'
'-y+3/4,-x+1/4,z+3/4'
loop_
_atom_site_label
_atom_site_type_symbol
_atom_site_fract_x
_atom_site_fract_y
_atom_site_fract_z
Ba1 Ba 0.000 0.250 0.375
Cd1 Cd 0.000 0.250 0.875
Br1 Br 0.000 0.066 0.680
```

Output
Energy above the lowest structure with this stoichiometry = 0.0 meV per atom
Total moment = 0.0 μB per cell
Calculated density = 3.75 Mg/m³
N(E_F) = 0.00 states/eV per cell
Formation energy from raw total energies = -1.503 eV/atom


[2]
Below is a geometry-optimized ScMnPt structure, with properties calculated at the GGA-PBE level.

```
data_ScMnPt
_cell_length_a 6.244
_cell_length_b 6.244
_cell_length_c 6.244
_cell_angle_alpha 90.00
_cell_angle_beta 90.00
_cell_angle_gamma 90.00
_symmetry_space_group_name_H-M 'F -4 3 m'
_symmetry_Int_Tables_number 216
_symmetry_space_group_name_Hall 'F -4 2 3'
loop_
_atom_site_label
_atom_site_type_symbol
_atom_site_fract_x
_atom_site_fract_y
_atom_site_fract_z
Sc1 Sc 0.000 0.000 0.000
Mn1 Mn 0.000 0.000 0.500
Pt1 Pt 0.250 0.250 0.250
```

Output
Total moment = 15.5 μB per cell
Calculated density = 8.05 Mg/m³
N(E_F) = 8.26 states/eV per cell
VASP energy = -7.636 eV/atom


[3]
Below is a geometry-optimized KMg3Sb structure, with properties calculated at the GGA-PBE level.

```
data_KMg3Sb
_cell_length_a 5.796
_cell_length_b 5.796
_cell_length_c 5.796
_cell_angle_alpha 90.00
_cell_angle_beta 90.00
_cell_angle_gamma 90.00
_symmetry_space_group_name_H-M 'P m -3 m'
_symmetry_Int_Tables_number 221
_symmetry_space_group_name_Hall '-P 4 2 3'
loop_
_atom_site_label
_atom_site_type_symbol
_atom_site_fract_x
_atom_site_fract_y
_atom_site_fract_z
K1 K 0.000 0.000 0.000
Mg1 Mg 0.000 0.000 0.500
Sb1 Sb 0.500 0.500 0.500
```

Output
Energy above the lowest structure with this stoichiometry = 855.9 meV per atom
Total moment = 0.0 μB per cell
Calculated density = 1.99 Mg/m³
N(E_F) = 3.45 states/eV per cell
Formation energy from raw total energies = 1.071 eV/atom


[4]
Below is a geometry-optimized Cs3OsS structure, with properties calculated at the GGA-PBE level.

```
data_Cs3OsS
_cell_length_a 6.711
_cell_length_b 6.711
_cell_length_c 6.711
_cell_angle_alpha 90.00
_cell_angle_beta 90.00
_cell_angle_gamma 90.00
_symmetry_space_group_name_H-M 'P m -3 m'
_symmetry_Int_Tables_number 221
_symmetry_space_group_name_Hall '-P 4 2 3'
loop_
_atom_site_label
_atom_site_type_symbol
_atom_site_fract_x
_atom_site_fract_y
_atom_site_fract_z
Cs1 Cs 0.000 0.000 0.500
Os1 Os 0.500 0.500 0.500
S1 S 0.000 0.000 0.000
```

Output
Energy above the lowest structure with this stoichiometry = 0.0 meV per atom
Total moment = 3.0 μB per cell
Calculated density = 3.41 Mg/m³
N(E_F) = 2.27 states/eV per cell
Formation energy from raw total energies = 0.694 eV/atom